# HgMoH2, relaxed, DFT GGA-PBEsol
data_HgMoH2
_space_group_name_H-M_alt 'F m -3 m'
_space_group_IT_number 225
_space_group_name_Hall '-F 4 2 3'
_cell_length_a 5.540
_cell_length_b 5.540
_cell_length_c 5.540
_cell_angle_alpha 90.00
_cell_angle_beta 90.00
_cell_angle_gamma 90.00
loop_
_atom_site_label
_atom_site_type_symbol
_atom_site_fract_x
_atom_site_fract_y
_atom_site_fract_z
Hg1 Hg 0.000 0.000 0.000
Mo1 Mo 0.000 0.000 0.500
H1 H 0.250 0.250 0.250
# DOS(E_F)	0.4085	states/eV/atom
# E	-3.804	eV/atom

***

# Hg2HN, relaxed, DFT GGA-PBEsol
data_Hg2HN
_space_group_name_H-M_alt 'I -4 2 d'
_space_group_IT_number 122
_space_group_name_Hall 'I -4 2bw'
_cell_length_a 4.630
_cell_length_b 4.630
_cell_length_c 11.320
_cell_angle_alpha 90.00
_cell_angle_beta 90.00
_cell_angle_gamma 90.00
loop_
_atom_site_label
_atom_site_type_symbol
_atom_site_fract_x
_atom_site_fract_y
_atom_site_fract_z
Hg1 Hg 0.235 0.250 0.125
H1 H 0.000 0.000 0.000
N1 N 0.000 0.000 0.500
# DOS(E_F)	0.1653	states/eV/atom
# E	-2.404	eV/atom

***

# HgTe2HN, relaxed, DFT GGA-PBEsol
data_HgTe2HN
_space_group_name_H-M_alt 'P 4/m m m'
_space_group_IT_number 123
_space_group_name_Hall '-P 4 2'
_cell_length_a 5.530
_cell_length_b 5.530
_cell_length_c 2.894
_cell_angle_alpha 90.00
_cell_angle_beta 90.00
_cell_angle_gamma 90.00
loop_
_atom_site_label
_atom_site_type_symbol
_atom_site_fract_x
_atom_site_fract_y
_atom_site_fract_z
Hg1 Hg 0.000 0.000 0.000
Te1 Te 0.000 0.500 0.500
H1 H 0.500 0.500 0.500
N1 N 0.500 0.500 0.000
# DOS(E_F)	0.7838	states/eV/atom
# E	-2.956	eV/atom

***

# Na2HgH2, relaxed, DFT GGA-PBEsol
data_Na2HgH2
_space_group_name_H-M_alt 'P 4/m b m'
_space_group_IT_number 127
_space_group_name_Hall '-P 4 2ab'
_cell_length_a 6.907
_cell_length_b 6.907
_cell_length_c 3.107
_cell_angle_alpha 90.00
_cell_angle_beta 90.00
_cell_angle_gamma 90.00
loop_
_atom_site_label
_atom_site_type_symbol
_atom_site_fract_x
_atom_site_fract_y
_atom_site_fract_z
Na1 Na 0.151 0.349 0.000
Hg1 Hg 0.000 0.000 0.500
H1 H 0.149 0.649 0.500
# DOS(E_F)	0.0954	states/eV/atom
# E	-1.990	eV/atom

***

# NaHg2H2, relaxed, DFT GGA-PBEsol
data_NaHg2H2
_space_group_name_H-M_alt 'P 4/m b m'
_space_group_IT_number 127
_space_group_name_Hall '-P 4 2ab'
_cell_length_a 6.293
_cell_length_b 6.293
_cell_length_c 3.894
_cell_angle_alpha 90.00
_cell_angle_beta 90.00
_cell_angle_gamma 90.00
loop_
_atom_site_label
_atom_site_type_symbol
_atom_site_fract_x
_atom_site_fract_y
_atom_site_fract_z
Na1 Na 0.000 0.000 0.000
Hg1 Hg 0.168 0.332 0.500
H1 H 0.168 0.332 0.000
# DOS(E_F)	0.1930	states/eV/atom
# E	-1.738	eV/atom

***

# Na3HgH, relaxed, DFT GGA-PBEsol
data_Na3HgH
_space_group_name_H-M_alt 'P m -3 m'
_space_group_IT_number 221
_space_group_name_Hall '-P 4 2 3'
_cell_length_a 4.708
_cell_length_b 4.708
_cell_length_c 4.708
_cell_angle_alpha 90.00
_cell_angle_beta 90.00
_cell_angle_gamma 90.00
loop_
_atom_site_label
_atom_site_type_symbol
_atom_site_fract_x
_atom_site_fract_y
_atom_site_fract_z
Na1 Na 0.000 0.000 0.500
Hg1 Hg 0.500 0.500 0.500
H1 H 0.000 0.000 0.000
# DOS(E_F)	0.5005	states/eV/atom
# E	-1.710	eV/atom

***

Question: Which of these has the highest E?
Answer: Na3HgH

***

Question: Number 4 is which compound?
Answer: Na2HgH2

***

Question: Among the records above, which one has the lowest DOS(E_F)?
Answer: Na2HgH2

***

Question: Number 6 is which compound?
Answer: Na3HgH